# 1
Computed, not measured: a geometry-optimized CePaAg structure at the PBE level of DFT.

```
data_CePaAg
_chemical_formula_sum 'Ce1 Pa1 Ag1'
_symmetry_space_group_name_H-M 'P 3 m 1'
_symmetry_Int_Tables_number 156
_symmetry_space_group_name_Hall 'P 3 -2"'
_cell_length_a 5.0899
_cell_length_b 5.0899
_cell_length_c 3.1227
_cell_angle_alpha 90.00
_cell_angle_beta 90.00
_cell_angle_gamma 120.00
loop_
_atom_site_label
_atom_site_fract_x
_atom_site_fract_y
_atom_site_fract_z
Ce1 0.0000 0.0000 0.0000
Pa1 0.3333 0.6667 0.6482
Ag1 0.6667 0.3333 0.3483
```

Summary:
Formation energy in eV/atom: 0.21
Energy above the lowest structure with this stoichiometry in meV/atom: 120.1
Raw total energy in eV/atom: -5.881
Total moment in μB/atom: 0.000
V in Å³ per cell: 70

***

# 2
Computed, not measured: a geometry-optimized Np3O8F2 structure at the PBE level of DFT.

```
data_Np3O8F2
_chemical_formula_sum 'Np3 O8 F2'
_symmetry_space_group_name_H-M 'P -1'
_symmetry_Int_Tables_number 2
_symmetry_space_group_name_Hall '-P 1'
_cell_length_a 6.063
_cell_length_b 6.609
_cell_length_c 6.614
_cell_angle_alpha 87.09
_cell_angle_beta 72.44
_cell_angle_gamma 68.33
loop_
_atom_site_label
_atom_site_fract_x
_atom_site_fract_y
_atom_site_fract_z
Np1 0.000 0.000 0.000
Np2 0.312 0.423 0.208
O1 0.050 0.760 0.189
O2 0.252 0.452 0.490
O3 0.353 0.864 0.819
O4 0.397 0.404 0.912
F1 0.114 0.192 0.200
```

Summary:
Raw total energy in eV/atom: -9.076
Total moment in μB/atom: 0.231
ΔE_f (raw) in meV/atom: -2751
V in Å³ per cell: 234

***

# 3
Computed, not measured: a geometry-optimized KAsPdAu structure at the PBE level of DFT.

```
data_KAsPdAu
_chemical_formula_sum 'K2 As2 Pd2 Au2'
_symmetry_space_group_name_H-M 'P 4/n m m'
_symmetry_Int_Tables_number 129
_cell_length_a 4.128
_cell_length_b 4.128
_cell_length_c 11.908
_cell_angle_alpha 90.00
_cell_angle_beta 90.00
_cell_angle_gamma 90.00
loop_
_symmetry_equiv_pos_as_xyz
'x,y,z'
'-x,-y,-z'
'-y+1/2,x,z'
'y+1/2,-x,-z'
'-x+1/2,-y+1/2,z'
'x+1/2,y+1/2,-z'
'y,-x+1/2,z'
'-y,x+1/2,-z'
'x+1/2,-y,-z'
'-x+1/2,y,z'
'-y,-x,-z'
'y,x,z'
'-x,y+1/2,-z'
'x,-y+1/2,z'
'y+1/2,x+1/2,-z'
'-y+1/2,-x+1/2,z'
loop_
_atom_site_label
_atom_site_fract_x
_atom_site_fract_y
_atom_site_fract_z
K1 0.250 0.250 0.229
As1 0.250 0.250 0.617
Pd1 0.250 0.750 0.500
Au1 0.250 0.750 0.000
```

Summary:
Formation energy in eV/atom: -0.31
Raw total energy in eV/atom: -3.861
Total moment in μB/atom: 0.000
V in Å³ per cell: 203